No. 1
KDyAuS2 | PBE | relaxed

Calculated volume ... 275.6 Å³ per cell
SG ... P2/c
Uncorrected formation energy ... -5.774 eV per formula unit
DOS at the Fermi energy ... 0.566 states/eV per atom

The structure in CIF format:
```
data_KDyAuS2
_space_group_name_H-M_alt 'P 1'
_space_group_IT_number 1
_space_group_name_Hall 'P 1'
_cell_length_a 7.2978
_cell_length_b 4.9951
_cell_length_c 7.6701
_cell_angle_alpha 90.00
_cell_angle_beta 99.74
_cell_angle_gamma 90.00
loop_
_atom_site_label
_atom_site_type_symbol
_atom_site_fract_x
_atom_site_fract_y
_atom_site_fract_z
_atom_site_occupancy
K1 K 0.0000 0.1405 0.2500 1
K2 K 0.0000 0.8595 0.7500 1
Dy1 Dy 0.5000 0.4929 0.7500 1
Dy2 Dy 0.5000 0.5071 0.2500 1
Au1 Au 0.5000 0.0000 0.0000 1
Au2 Au 0.5000 0.0000 0.5000 1
S1 S 0.2558 0.3456 0.9633 1
S2 S 0.2558 0.6544 0.4633 1
S3 S 0.7442 0.3456 0.5367 1
S4 S 0.7442 0.6544 0.0367 1
```

***

No. 2
KDy2AuSe4 | PBE | relaxed

Calculated volume ... 432.9 Å³ per cell
SG ... Cmcm
Uncorrected formation energy ... -11.499 eV per formula unit

The structure in CIF format:
```
data_KDy2AuSe4
_space_group_name_H-M_alt 'P 1'
_space_group_IT_number 1
_space_group_name_Hall 'P 1'
_cell_length_a 7.3561
_cell_length_b 7.3561
_cell_length_c 14.7196
_cell_angle_alpha 90.00
_cell_angle_beta 90.00
_cell_angle_gamma 147.08
loop_
_atom_site_label
_atom_site_type_symbol
_atom_site_fract_x
_atom_site_fract_y
_atom_site_fract_z
_atom_site_occupancy
K1 K 0.1264 0.8736 0.7500 1
K2 K 0.8736 0.1264 0.2500 1
Dy1 Dy 0.3696 0.6304 0.5704 1
Dy2 Dy 0.3696 0.6304 0.9296 1
Dy3 Dy 0.6304 0.3696 0.0704 1
Dy4 Dy 0.6304 0.3696 0.4296 1
Au1 Au 0.1566 0.8434 0.2500 1
Au2 Au 0.8434 0.1566 0.7500 1
Se1 Se 0.0000 0.0000 0.0000 1
Se2 Se 0.0000 0.0000 0.5000 1
Se3 Se 0.2650 0.7350 0.1036 1
Se4 Se 0.2650 0.7350 0.3964 1
Se5 Se 0.4541 0.5459 0.7500 1
Se6 Se 0.5459 0.4541 0.2500 1
Se7 Se 0.7350 0.2650 0.6036 1
Se8 Se 0.7350 0.2650 0.8964 1
```

***

No. 3
KDy2Te4Au | PBE | relaxed

Calculated volume ... 521.8 Å³ per cell
SG ... Cmcm
Uncorrected formation energy ... -8.982 eV per formula unit

The structure in CIF format:
```
data_KDy2Te4Au
_space_group_name_H-M_alt 'P 1'
_space_group_IT_number 1
_space_group_name_Hall 'P 1'
_cell_length_a 7.8415
_cell_length_b 7.8415
_cell_length_c 15.7107
_cell_angle_alpha 90.00
_cell_angle_beta 90.00
_cell_angle_gamma 147.30
loop_
_atom_site_label
_atom_site_type_symbol
_atom_site_fract_x
_atom_site_fract_y
_atom_site_fract_z
_atom_site_occupancy
K1 K 0.1310 0.8690 0.7500 1
K2 K 0.8690 0.1310 0.2500 1
Dy1 Dy 0.3699 0.6301 0.5727 1
Dy2 Dy 0.3699 0.6301 0.9273 1
Dy3 Dy 0.6301 0.3699 0.0727 1
Dy4 Dy 0.6301 0.3699 0.4273 1
Te1 Te 0.0000 0.0000 0.0000 1
Te2 Te 0.0000 0.0000 0.5000 1
Te3 Te 0.2668 0.7332 0.1061 1
Te4 Te 0.2668 0.7332 0.3939 1
Te5 Te 0.4554 0.5446 0.7500 1
Te6 Te 0.5446 0.4554 0.2500 1
Te7 Te 0.7332 0.2668 0.6061 1
Te8 Te 0.7332 0.2668 0.8939 1
Au1 Au 0.1553 0.8447 0.2500 1
Au2 Au 0.8447 0.1553 0.7500 1
```

***

uncorrected formation energy of number 2 (KDy2AuSe4)? -11.499 eV per formula unit

***

Which value of uncorrected formation energy does entry 3 give? -8.982 eV per formula unit

***

The highest calculated volume belongs to which entry? KDy2Te4Au

***

Among the records above, which one has the lowest uncorrected formation energy? KDy2AuSe4